5
Lattice="5.184 0.000 0.000 0.000 5.184 0.000 0.000 0.000 5.066" Properties=species:S:1:pos:R:3 comment="ReSn2PAu | Alexandria via LeMat-Bulk | PBE | relaxed" formation_energy_mev_per_atom=1050 dft_energy_ev_per_fu=-23.890 pbc="T T T"
Re 0.000 0.000 0.000
Sn 0.000 2.592 0.000
Sn 2.592 0.000 0.000
P 2.592 2.592 2.533
Au 0.000 0.000 2.533